[1]
The following is a PBE-GGA calculation of a geometry-optimized Cu2RuAu structure, from Alexandria.

Unit cell a=5.671 b=7.519 c=2.650 alpha=90.00 beta=90.00 gamma=90.00
Fractional coordinates of all 8 atoms:
Cu1 0.250 0.250 0.000
Cu2 0.250 0.750 0.000
Cu3 0.750 0.250 0.000
Cu4 0.750 0.750 0.000
Ru1 0.000 0.000 0.500
Ru2 0.500 0.500 0.500
Au1 0.000 0.500 0.500
Au2 0.500 0.000 0.500

Summary:
Crystal system: orthorhombic
DOS(E_F): 0.92 states/eV/atom
Total moment: 0.00 μB per formula unit
DFT formation energy: 0.247 eV per atom
Relative energy among the computed polymorphs: 0.19 eV/f.u.

=====

[2]
The following is a PBE-GGA calculation of a geometry-optimized CuRu2Au structure, from Alexandria.

Unit cell a=6.184 b=6.184 c=6.184 alpha=90.00 beta=90.00 gamma=90.00
Fractional coordinates of all 16 atoms:
Cu1 0.000 0.000 0.000
Cu2 0.000 0.500 0.500
Cu3 0.500 0.000 0.500
Cu4 0.500 0.500 0.000
Ru1 0.000 0.000 0.500
Ru2 0.000 0.500 0.000
Ru3 0.250 0.250 0.250
Ru4 0.250 0.750 0.750
Ru5 0.500 0.000 0.000
Ru6 0.500 0.500 0.500
Ru7 0.750 0.250 0.750
Ru8 0.750 0.750 0.250
Au1 0.250 0.250 0.750
Au2 0.250 0.750 0.250
Au3 0.750 0.250 0.250
Au4 0.750 0.750 0.750

Summary:
Crystal system: cubic
DOS(E_F): 1.22 states/eV/atom
Total moment: 0.00 μB per formula unit
DFT formation energy: 0.477 eV per atom
Relative energy among the computed polymorphs: 1.25 eV/f.u.

=====

Number 1: volume 113.0 Å³/cell. Number 2: volume 236.5 Å³/cell.